# LaNdTl

A relaxed structure of LaNdTl (PBE, OQMD).

```
LaNdTl
1.0
0.000 3.801 3.801
3.801 0.000 3.801
3.801 3.801 0.000
La Nd Tl
1 1 1
direct
0.250 0.250 0.250 La
0.750 0.750 0.750 Nd
0.000 0.000 0.000 Tl
```

The value obtained for the relative energy among the computed polymorphs is 0 meV per atom. As for the space-group type: F-43m, No. 216.

=====

# LaNdTm

A relaxed structure of LaNdTm (PBE, OQMD).

```
LaNdTm
1.0
0.315 -5.218 -1.833
2.301 -3.916 3.171
-3.166 -3.932 2.279
La Nd Tm
1 1 1
direct
0.250 0.250 0.250 La
0.750 0.750 0.750 Nd
0.000 0.000 0.000 Tm
```

The value obtained for the relative energy among the computed polymorphs is 0 meV per atom. For the formation energy, the calculation gives 653 meV/atom. As for the space-group type: F-43m, No. 216.

=====

# LaNdU

A relaxed structure of LaNdU (PBE, OQMD).

```
LaNdU
1.0
0.000 3.674 3.674
3.674 0.000 3.674
3.674 3.674 0.000
La Nd U
1 1 1
direct
0.000 0.000 0.000 La
0.250 0.250 0.250 Nd
0.750 0.750 0.750 U
```

The value obtained for the relative energy among the computed polymorphs is 0 meV per atom. For the formation energy, the calculation gives 1175 meV/atom. As for the space-group type: F-43m, No. 216.

=====

# LaNdY

A relaxed structure of LaNdY (PBE, OQMD).

```
LaNdY
1.0
-3.166 -4.573 0.582
-2.270 -1.216 4.964
-5.520 0.497 0.748
La Nd Y
1 1 1
direct
0.500 0.500 0.500 La
0.000 0.000 0.000 Nd
0.250 0.250 0.250 Y
```

The value obtained for the relative energy among the computed polymorphs is 0 meV per atom. For the formation energy, the calculation gives 693 meV/atom. As for the space-group type: F-43m, No. 216.

=====

> What is the relative energy among the computed polymorphs in the fourth record?

0 meV per atom